The following is a PBE calculation of an optimized crystal structure of CaCd2Sn2, from Alexandria.

## Properties
ρ = 5.97 g/cm3
Electronic total energy = -0.1906 Ry per atom
Calculated volume = 27.92 Å³/atom
Formation energy = -0.23 eV/atom
Magnetization = 0.000 Bohr magnetons per cell

abc: 4.5442 4.5442 7.4859
angles: 72.33 72.33 90.00
Closest atoms and distances in Å follow each position.
Atoms (fractional coordinates):
Ca1 0.0000 0.0000 0.0000  8 Sn 3.53
Sn1 0.6075 0.6075 0.7850  1 Sn 2.91, 4 Cd 2.98
Sn2 0.3925 0.3925 0.2150  1 Sn 2.91, 4 Cd 2.98
Cd1 0.2500 0.7500 0.5000  4 Sn 2.98, 4 Cd 3.21
Cd2 0.7500 0.2500 0.5000  4 Sn 2.98, 4 Cd 3.21


The following is a PBE calculation of an optimized crystal structure of Pr6BiI8, from Alexandria.

## Properties
E_form (uncorrected) = -1.137 eV per atom
ρ = 5.56 g/cm3
Electronic total energy = -0.3039 Ry per atom
Calculated volume = 41.21 Å³/atom
Magnetization = 0.000 Bohr magnetons per cell

abc: 7.8497 7.8497 12.4388
angles: 71.61 71.61 60.00
Closest atoms and distances in Å follow each position.
Atoms (fractional coordinates):
I1 0.6667 0.6667 0.0000  6 Pr 3.13
Pr1 0.3881 0.7125 0.8491  5 I 3.13-3.29, 1 Bi 3.18
I2 0.2211 0.5639 0.3225  3 Pr 3.29
Pr2 0.6119 0.2875 0.1509  5 I 3.13-3.29, 1 Bi 3.18
I3 0.7789 0.4361 0.6775  3 Pr 3.29
Bi1 0.0000 0.0000 0.0000  6 Pr 3.18
Pr3 0.0504 0.3881 0.8491  5 I 3.13-3.29, 1 Bi 3.18
Pr4 0.2875 0.9496 0.1509  5 I 3.13-3.29, 1 Bi 3.18
I4 0.1075 0.7789 0.6775  3 Pr 3.29
Pr5 0.9496 0.6119 0.1509  5 I 3.13-3.29, 1 Bi 3.18
I5 0.5639 0.8925 0.3225  3 Pr 3.29
I6 0.3333 0.3333 0.0000  6 Pr 3.13
I7 0.4361 0.1075 0.6775  3 Pr 3.29
I8 0.8925 0.2211 0.3225  3 Pr 3.29
Pr6 0.7125 0.0504 0.8491  5 I 3.13-3.29, 1 Bi 3.18


Which formula does entry 2 have? Pr6BiI8